No. 1
Entry from Alexandria via LeMat-Bulk: a relaxed BaAl2 crystal (PBE).

Values from the calculation:
ΔE_f in meV per atom: -226
V in Å³ per cell: 351

Cell: 12.1208 4.4835 8.0917 Å, 90.00 127.10 90.00°
Space group C2/m (No. 12)
Symmetry-distinct sites (fractional):
1 Ba 0.0656 0.0000 0.3402 [4 per cell]
2 Al 0.1355 0.5000 0.0786 [4 per cell]
3 Al 0.2172 0.5000 0.8343 [4 per cell]

No. 2
Entry from Alexandria via LeMat-Bulk: a relaxed BaSr3Ca2 crystal (PBE).

Values from the calculation:
Offset from the most stable computed form in eV per atom: 0.066
ΔE_f in meV per atom: 89
V in Å³ per cell: 1245

Cell: 20.6570 7.4863 8.0498 Å, 90.00 90.00 90.00°
Space group Cmcm (No. 63)
Symmetry-distinct sites (fractional):
1 Ba 0.0000 0.2187 0.2500 [4 per cell]
2 Sr 0.0000 0.2796 0.7500 [4 per cell]
3 Sr 0.1819 0.0107 0.7500 [8 per cell]
4 Ca 0.1501 0.5000 0.0000 [8 per cell]

No. 3
Entry from Alexandria via LeMat-Bulk: a relaxed Nd3IrI3 crystal (PBE).

Values from the calculation:
E_form (uncorrected) in eV per atom: -1.139
V in Å³ per cell: 508

Cell: 9.4178 4.2737 12.6200 Å, 90.00 92.27 90.00°
Space group P2_1/m (No. 11)
Symmetry-distinct sites (fractional):
1 Nd 0.0947 0.2500 0.3910 [2 per cell]
2 Nd 0.1166 0.2500 0.8380 [2 per cell]
3 Nd 0.3107 0.7500 0.6201 [2 per cell]
4 Ir 0.1124 0.2500 0.6204 [2 per cell]
5 I 0.1359 0.2500 0.1152 [2 per cell]
6 I 0.3721 0.7500 0.8761 [2 per cell]
7 I 0.3915 0.7500 0.3674 [2 per cell]

No. 4
Entry from Alexandria via LeMat-Bulk: a relaxed Tb2Dy6In3 crystal (PBE).

Values from the calculation:
ΔE_f in meV per atom: 11
V in Å³ per cell: 684

Cell: 4.5255 4.5255 33.3955 Å, 90.00 90.00 90.00°
Space group I4/mmm (No. 139)
Symmetry-distinct sites (fractional):
1 Tb 0.0000 0.0000 0.0444 [4 per cell]
2 Dy 0.0000 0.0000 0.2129 [4 per cell]
3 Dy 0.0000 0.5000 0.1273 [8 per cell]
4 In 0.0000 0.0000 0.3063 [4 per cell]
5 In 0.0000 0.0000 0.5000 [2 per cell]

No. 5
Entry from Alexandria via LeMat-Bulk: a relaxed Hf3Ti2Pd8 crystal (PBE).

Values from the calculation:
ΔE_f in meV per atom: -374
V in Å³ per cell: 695

Cell: 5.2743 5.2743 28.8582 Å, 90.00 90.00 120.00°
Space group R-3m (No. 166, hexagonal axes)
Symmetry-distinct sites (fractional):
1 Hf 0.0000 0.0000 0.0000 [3 per cell]
2 Hf 0.0000 0.0000 0.1902 [6 per cell]
3 Ti 0.0000 0.0000 0.3652 [6 per cell]
4 Pd 0.0000 0.0000 0.2825 [6 per cell]
5 Pd 0.0034 0.5017 0.7717 [18 per cell]

No. 6
Entry from Alexandria via LeMat-Bulk: a relaxed KV crystal (PBE).

Values from the calculation:
Offset from the most stable computed form in eV per atom: 0.090
ΔE_f in meV per atom: 832
V in Å³ per cell: 127

Cell: 3.0359 4.0434 10.6058 Å, 88.93 89.08 77.20°
Space group P-1 (No. 2)
Symmetry-distinct sites (fractional):
1 K 0.1604 0.2319 0.2017 [2 per cell]
2 V 0.2884 0.7129 0.4901 [2 per cell]

No. 7
Entry from Alexandria via LeMat-Bulk: a relaxed SrGa3Rh crystal (PBE).

Values from the calculation:
ΔE_f in meV per atom: 1511
V in Å³ per cell: 173

Cell: 5.5760 5.5760 5.5760 Å, 90.00 90.00 90.00°
Space group Pm-3m (No. 221)
Symmetry-distinct sites (fractional):
1 Sr 0.0000 0.0000 0.0000 [1 per cell]
2 Ga 0.0000 0.0000 0.5000 [3 per cell]
3 Rh 0.5000 0.5000 0.5000 [1 per cell]

No. 8
Entry from Alexandria via LeMat-Bulk: a relaxed NdZn2Pt2 crystal (PBE).

Values from the calculation:
ΔE_f in meV per atom: -799
V in Å³ per cell: 194

Cell: 3.9888 3.9888 12.1775 Å, 90.00 90.00 90.00°
Space group I4/mmm (No. 139)
Symmetry-distinct sites (fractional):
1 Nd 0.0000 0.0000 0.0000 [2 per cell]
2 Zn 0.0000 0.5000 0.2500 [4 per cell]
3 Pt 0.0000 0.0000 0.3882 [4 per cell]